Record 1
# Dy3ScRh2

A relaxed Dy3ScRh2 crystal (PBE, the Alexandria database).

It has space group C2/m (No. 12), with a = 15.325 Å, b = 4.139 Å, c = 4.626 Å, α = 90.00°, β = 107.47° and γ = 90.00°. The asymmetric unit holds Dy at (0.000, 0.000, 0.000), Dy at (0.184, 0.500, 0.186), Sc at (0.000, 0.500, 0.500) and Rh at (0.127, 0.000, 0.629).

Its formation energy is -0.600 eV/atom. As for the crystal system: monoclinic.

Record 2
# Dy2ScRh3

A relaxed Dy2ScRh3 crystal (PBE, the Alexandria database).

It has space group Cmmm (No. 65), with a = 4.741 Å, b = 14.210 Å, c = 3.388 Å, α = 90.00°, β = 90.00° and γ = 90.00°. The asymmetric unit holds Dy at (0.000, 0.164, 0.000), Sc at (0.000, 0.500, 0.000), Rh at (0.000, 0.000, 0.500) and Rh at (0.000, 0.340, 0.500).

Its formation energy is -0.902 eV/atom. As for the crystal system: orthorhombic.

Record 3
# DySc2Rh4

A relaxed DySc2Rh4 crystal (PBE, the Alexandria database).

It has space group I4/mmm (No. 139), with a = 6.487 Å, b = 6.487 Å, c = 6.226 Å, α = 90.00°, β = 90.00° and γ = 90.00°. The asymmetric unit holds Dy at (0.000, 0.000, 0.000), Sc at (0.000, 0.500, 0.000) and Rh at (0.250, 0.250, 0.250).

Its formation energy is -0.523 eV/atom. As for the crystal system: tetragonal.